# Ta3Nb2Rh PBE optimized geometry
data_Ta3Nb2Rh
_chemical_formula_sum 'Ta3 Nb2 Rh1'
_space_group_name_H-M_alt 'P 4/m m m'
_space_group_IT_number 123
_space_group_name_Hall '-P 4 2'
_cell_length_a 3.293
_cell_length_b 3.293
_cell_length_c 9.708
_cell_angle_alpha 90.00
_cell_angle_beta 90.00
_cell_angle_gamma 90.00
loop_
_atom_site_label
_atom_site_type_symbol
_atom_site_fract_x
_atom_site_fract_y
_atom_site_fract_z
_atom_site_occupancy
Ta1 Ta 0.000 0.000 0.000 1
Ta2 Ta 0.000 0.000 0.338 1
Nb1 Nb 0.500 0.500 0.171 1
Rh1 Rh 0.500 0.500 0.500 1
# DOS(E_F) (states/eV/f.u.): 4.6
# Polymorph energy (0 for the lowest one) (meV/atom): 0
# Formation energy (eV per formula unit): -1.19

# Ta7Nb2Rh2 PBE optimized geometry
data_Ta7Nb2Rh2
_chemical_formula_sum 'Ta7 Nb2 Rh2'
_space_group_name_H-M_alt 'P -1'
_space_group_IT_number 2
_cell_length_a 5.423
_cell_length_b 5.426
_cell_length_c 7.133
_cell_angle_alpha 69.51
_cell_angle_beta 77.31
_cell_angle_gamma 84.21
loop_
_space_group_symop_operation_xyz
'x,y,z'
'-x,-y,-z'
loop_
_atom_site_label
_atom_site_type_symbol
_atom_site_fract_x
_atom_site_fract_y
_atom_site_fract_z
_atom_site_occupancy
Ta1 Ta 0.000 0.000 0.000 1
Ta2 Ta 0.188 0.915 0.362 1
Ta3 Ta 0.274 0.360 0.544 1
Ta4 Ta 0.453 0.273 0.913 1
Nb1 Nb 0.355 0.816 0.732 1
Rh1 Rh 0.097 0.455 0.192 1
# DOS(E_F) (states/eV/f.u.): 8.8
# Formation energy (eV per formula unit): -2.06

# Ta6Nb3Rh PBE optimized geometry
data_Ta6Nb3Rh
_chemical_formula_sum 'Ta24 Nb12 Rh4'
_space_group_name_H-M_alt 'F m -3 m'
_space_group_IT_number 225
_space_group_name_Hall '-F 4 2 3'
_cell_length_a 9.599
_cell_length_b 9.599
_cell_length_c 9.599
_cell_angle_alpha 90.00
_cell_angle_beta 90.00
_cell_angle_gamma 90.00
loop_
_atom_site_label
_atom_site_type_symbol
_atom_site_fract_x
_atom_site_fract_y
_atom_site_fract_z
_atom_site_occupancy
Ta1 Ta 0.000 0.000 0.247 1
Nb1 Nb 0.000 0.000 0.500 1
Nb2 Nb 0.250 0.250 0.250 1
Rh1 Rh 0.000 0.000 0.000 1
# DOS(E_F) (states/eV/f.u.): 16.4
# Polymorph energy (0 for the lowest one) (meV/atom): 1579
# Formation energy (eV per formula unit): 14.49

# Ta3Nb2Rh PBE optimized geometry
data_Ta3Nb2Rh
_chemical_formula_sum 'Ta6 Nb4 Rh2'
_space_group_name_H-M_alt 'P -1'
_space_group_IT_number 2
_cell_length_a 2.851
_cell_length_b 7.972
_cell_length_c 9.888
_cell_angle_alpha 71.83
_cell_angle_beta 82.62
_cell_angle_gamma 87.82
loop_
_space_group_symop_operation_xyz
'x,y,z'
'-x,-y,-z'
loop_
_atom_site_label
_atom_site_type_symbol
_atom_site_fract_x
_atom_site_fract_y
_atom_site_fract_z
_atom_site_occupancy
Ta1 Ta 0.049 0.296 0.377 1
Ta2 Ta 0.077 0.755 0.890 1
Ta3 Ta 0.361 0.972 0.370 1
Nb1 Nb 0.247 0.372 0.625 1
Nb2 Nb 0.374 0.114 0.883 1
Rh1 Rh 0.423 0.544 0.136 1
# DOS(E_F) (states/eV/f.u.): 5.6
# Polymorph energy (0 for the lowest one) (meV/atom): 99
# Formation energy (eV per formula unit): -0.60

# Ta4NbRh7 PBE optimized geometry
data_Ta4NbRh7
_chemical_formula_sum 'Ta8 Nb2 Rh14'
_space_group_name_H-M_alt 'C 1 2/m 1'
_space_group_IT_number 12
_cell_length_a 10.562
_cell_length_b 4.695
_cell_length_c 9.444
_cell_angle_alpha 90.00
_cell_angle_beta 119.57
_cell_angle_gamma 90.00
loop_
_space_group_symop_operation_xyz
'x,y,z'
'-x,-y,-z'
'-x,y,-z'
'x,-y,z'
'x+1/2,y+1/2,z'
'-x+1/2,-y+1/2,-z'
'-x+1/2,y+1/2,-z'
'x+1/2,-y+1/2,z'
loop_
_atom_site_label
_atom_site_type_symbol
_atom_site_fract_x
_atom_site_fract_y
_atom_site_fract_z
_atom_site_occupancy
Ta1 Ta 0.089 0.000 0.272 1
Ta2 Ta 0.240 0.000 0.830 1
Nb1 Nb 0.000 0.500 0.500 1
Rh1 Rh 0.000 0.000 0.500 1
Rh2 Rh 0.066 0.500 0.840 1
Rh3 Rh 0.142 0.000 0.043 1
Rh4 Rh 0.215 0.500 0.409 1
# DOS(E_F) (states/eV/f.u.): 9.2
# Formation energy (eV per formula unit): -2.25

# Ta4Nb5Rh PBE optimized geometry
data_Ta4Nb5Rh
_chemical_formula_sum 'Ta4 Nb5 Rh1'
_space_group_name_H-M_alt 'P 4/m m m'
_space_group_IT_number 123
_space_group_name_Hall '-P 4 2'
_cell_length_a 3.294
_cell_length_b 3.294
_cell_length_c 16.455
_cell_angle_alpha 90.00
_cell_angle_beta 90.00
_cell_angle_gamma 90.00
loop_
_atom_site_label
_atom_site_type_symbol
_atom_site_fract_x
_atom_site_fract_y
_atom_site_fract_z
_atom_site_occupancy
Ta1 Ta 0.000 0.000 0.101 1
Ta2 Ta 0.000 0.000 0.304 1
Nb1 Nb 0.500 0.500 0.000 1
Nb2 Nb 0.500 0.500 0.205 1
Nb3 Nb 0.500 0.500 0.404 1
Rh1 Rh 0.000 0.000 0.500 1
# DOS(E_F) (states/eV/f.u.): 11.0
# Polymorph energy (0 for the lowest one) (meV/atom): 0
# Formation energy (eV per formula unit): -1.08